This record from the Alexandria database describes crystalline YTaTi2 at its relaxed geometry. The functional is PBE-GGA.

Results
offset from the most stable computed form = 4.24 kcal/mol of atoms
raw total energy = -8.21 eV per atom
M_tot = 0.0003 μB per atom
D(E_F) = 2.21 states/eV/atom
ΔE_f = 0.32 eV per atom

Unit cell a=6.844 b=6.844 c=6.844 alpha=90.00 beta=90.00 gamma=90.00
Space group Fm-3m (No. 225)
Symmetry-distinct sites (fractional):
Y  0.000  0.000  0.000 (multiplicity 4)
Ta  0.000  0.000  0.500 (multiplicity 4)
Ti  0.250  0.250  0.250 (multiplicity 8)

=====

This record from the Alexandria database describes crystalline YTa2Ti at its relaxed geometry. The functional is PBE-GGA.

Results
offset from the most stable computed form = 7.69 kcal/mol of atoms
raw total energy = -8.67 eV per atom
M_tot = 0.0022 μB per atom
D(E_F) = 1.60 states/eV/atom
ΔE_f = 0.84 eV per atom

Unit cell a=7.707 b=7.707 c=5.749 alpha=90.00 beta=90.00 gamma=90.00
Space group I-42d (No. 122)
Symmetry-distinct sites (fractional):
Y  0.000  0.000  0.000 (multiplicity 4)
Ta  0.224  0.750  0.625 (multiplicity 8)
Ti  0.000  0.000  0.500 (multiplicity 4)

=====

This record from the Alexandria database describes crystalline YTa3Ti at its relaxed geometry. The functional is PBE-GGA.

Results
offset from the most stable computed form = 0.00 kcal/mol of atoms
raw total energy = -8.95 eV per atom
M_tot = 0.0000 μB per atom
D(E_F) = 1.44 states/eV/atom
ΔE_f = 1.03 eV per atom

Unit cell a=4.815 b=4.815 c=4.815 alpha=90.00 beta=90.00 gamma=90.00
Space group Pm-3m (No. 221)
Symmetry-distinct sites (fractional):
Y  0.000  0.000  0.000 (multiplicity 1)
Ta  0.000  0.500  0.500 (multiplicity 3)
Ti  0.500  0.500  0.500 (multiplicity 1)